Computed, not measured: a geometry-optimized TbYAlIr2 structure at the PBE level of DFT.

CIF file:
```
data_TbYAlIr2
_chemical_formula_sum 'Tb2 Y2 Al2 Ir4'
_cell_length_a 4.100
_cell_length_b 5.833
_cell_length_c 8.580
_cell_angle_alpha 90.00
_cell_angle_beta 90.00
_cell_angle_gamma 90.00
_symmetry_space_group_name_H-M 'I m m 2'
_symmetry_Int_Tables_number 44
_symmetry_space_group_name_Hall 'I 2 -2'
loop_
_atom_site_label
_atom_site_type_symbol
_atom_site_fract_x
_atom_site_fract_y
_atom_site_fract_z
_atom_site_occupancy
Tb1 Tb 0.000 0.000 0.000 1
Y1 Y 0.000 0.000 0.396 1
Al1 Al 0.000 0.500 0.198 1
Ir1 Ir 0.000 0.259 0.698 1
```

Summary:
- raw total energy (eV/atom) = -7.4334

=====

Computed, not measured: a geometry-optimized IrPdW structure at the PBE level of DFT.

CIF file:
```
data_IrPdW
_chemical_formula_sum 'Ir4 Pd4 W4'
_cell_length_a 6.009
_cell_length_b 6.009
_cell_length_c 6.009
_cell_angle_alpha 90.00
_cell_angle_beta 90.00
_cell_angle_gamma 90.00
_symmetry_space_group_name_H-M 'F -4 3 m'
_symmetry_Int_Tables_number 216
_symmetry_space_group_name_Hall 'F -4 2 3'
loop_
_atom_site_label
_atom_site_type_symbol
_atom_site_fract_x
_atom_site_fract_y
_atom_site_fract_z
_atom_site_occupancy
Ir1 Ir 0.000 0.000 0.000 1
Pd1 Pd 0.250 0.250 0.750 1
W1 W 0.250 0.250 0.250 1
```

Summary:
- raw total energy (eV/atom) = -8.5303
- ΔE to the lowest computed polymorph (eV/atom) = 0.1348

=====

Computed, not measured: a geometry-optimized Cd2BPd structure at the PBE level of DFT.

CIF file:
```
data_Cd2BPd
_chemical_formula_sum 'Cd8 B4 Pd4'
_cell_length_a 6.388
_cell_length_b 6.388
_cell_length_c 6.388
_cell_angle_alpha 90.00
_cell_angle_beta 90.00
_cell_angle_gamma 90.00
_symmetry_space_group_name_H-M 'F -4 3 m'
_symmetry_Int_Tables_number 216
_symmetry_space_group_name_Hall 'F -4 2 3'
loop_
_atom_site_label
_atom_site_type_symbol
_atom_site_fract_x
_atom_site_fract_y
_atom_site_fract_z
_atom_site_occupancy
Cd1 Cd 0.000 0.000 0.000 1
Cd2 Cd 0.250 0.250 0.250 1
B1 B 0.000 0.000 0.500 1
Pd1 Pd 0.250 0.250 0.750 1
```

Summary:
- raw total energy (eV/atom) = -2.7804

=====

Computed, not measured: a geometry-optimized DyHoCu2Bi4 structure at the PBE level of DFT.

CIF file:
```
data_DyHoCu2Bi4
_chemical_formula_sum 'Dy1 Ho1 Cu2 Bi4'
_cell_length_a 4.536
_cell_length_b 4.536
_cell_length_c 9.589
_cell_angle_alpha 90.00
_cell_angle_beta 90.00
_cell_angle_gamma 90.00
_symmetry_space_group_name_H-M 'P 4 m m'
_symmetry_Int_Tables_number 99
_symmetry_space_group_name_Hall 'P 4 -2'
loop_
_atom_site_label
_atom_site_type_symbol
_atom_site_fract_x
_atom_site_fract_y
_atom_site_fract_z
_atom_site_occupancy
Dy1 Dy 0.000 0.000 0.000 1
Ho1 Ho 0.500 0.500 0.531 1
Cu1 Cu 0.000 0.500 0.764 1
Bi1 Bi 0.000 0.000 0.596 1
Bi2 Bi 0.000 0.500 0.266 1
Bi3 Bi 0.500 0.500 0.933 1
```

Summary:
- raw total energy (eV/atom) = -4.5008